Density functional theory data (PBE) for a geometry-optimized Y4Pu3Te8 structure. Values from VASP.

## Properties
Space group: C2/m, No. 12
Formation energy from raw total energies, meV per atom: -1285

```
&SYSTEM
  ibrav = 0, nat = 15, ntyp = 3
/
ATOMIC_SPECIES
Y 88.91 Y.upf
Pu 244.00 Pu.upf
Te 127.60 Te.upf
ATOMIC_POSITIONS crystal
Y 0.0000 0.0000 0.0000
Y 0.0000 0.0000 0.5000
Y 0.0000 0.5000 0.0000
Y 0.5000 0.0000 0.0000
Pu 0.0000 0.5000 0.5000
Pu 0.5000 0.0000 0.5000
Pu 0.5000 0.5000 0.5000
Te 0.2489 0.7511 0.5000
Te 0.2502 0.2502 0.5037
Te 0.2514 0.2514 0.9954
Te 0.2528 0.7472 0.0000
Te 0.7472 0.2528 0.0000
Te 0.7486 0.7486 0.0046
Te 0.7498 0.7498 0.4963
Te 0.7511 0.2489 0.5000
CELL_PARAMETERS angstrom
6.1901 -6.2030 0.0000
6.1901 6.2030 0.0000
-6.1790 0.0000 6.2135
```



Density functional theory data (PBE) for a geometry-optimized KCr2Cu structure. Values from VASP.

## Properties
Space group: I-4m2, No. 119
Energy of formation from the pure elements, eV per atom: 1.299
ΔE to the lowest computed polymorph, meV per atom: 658

```
&SYSTEM
  ibrav = 0, nat = 4, ntyp = 3
/
ATOMIC_SPECIES
K 39.10 K.upf
Cr 52.00 Cr.upf
Cu 63.55 Cu.upf
ATOMIC_POSITIONS crystal
K 0.0000 0.0000 0.0000
Cr 0.2500 0.7500 0.5000
Cr 0.5000 0.5000 0.0000
Cu 0.7500 0.2500 0.5000
CELL_PARAMETERS angstrom
-2.5145 2.5145 3.5663
2.5145 -2.5145 3.5663
2.5145 2.5145 -3.5663
```



Number 1: DFT total energy -7.551 eV per atom. Number 2: DFT total energy -4.811 eV per atom.